# 1
An optimized crystal structure of LaTmAlIr2. Source: OQMD via LeMat-Bulk, functional PBE.

Results
space-group type: Imm2, No. 44
calculated total energy: -7.0447 eV/atom

a = 5.641 Å, b = 5.641 Å, c = 5.641 Å
α = 136.84°, β = 117.43°, γ = 79.04°
Fractional positions:
Al  0.001  0.001  0.000
Ir  0.742  0.499  0.243
Ir  0.256  0.499  0.757
La  0.699  0.199  0.500
Tm  0.302  0.802  0.500


# 2
An optimized crystal structure of CsTaBePt. Source: OQMD via LeMat-Bulk, functional PBE.

Results
space-group type: F-43m, No. 216
energy relative to the lowest polymorph listed for this composition: 0 meV per atom

a = 4.739 Å, b = 4.739 Å, c = 4.739 Å
α = 60.00°, β = 60.00°, γ = 60.00°
Fractional positions:
Be  0.750  0.750  0.750
Cs  0.000  0.000  0.000
Pt  0.500  0.500  0.500
Ta  0.250  0.250  0.250


Calculated density / kg/m3: 11291; 11426